The following is a DFT calculation (PBE) of Ba8AgPt3I4 after structural relaxation.

Space-group type = R-3m (166)
Fermi-level density of states = 0.725 states/eV/atom
E = -59.49 eV for the cell shown
Crystal system = trigonal
Size of the total moment = 0.0 μB per formula unit
ΔE_f (raw) = -1.0581 eV/atom

Cell lengths 9.3377, 10.2930, 9.3378 Å; angles 116.99, 120.00, 90.00 degrees
Closest atoms and distances in Å follow each position.
Fractional positions:
Ba: 0.2416 0.7039 0.9626  2 Pt 3.19, 1 Ag 3.33
Ba: 0.2415 0.7039 0.4830  2 Pt 3.19, 1 Ag 3.33
Ba: 0.2669 0.3009 0.5338  3 Pt 3.21
Ba: 0.7210 0.7039 0.9626  2 Pt 3.19, 1 Ag 3.33
Ba: 0.2790 0.2961 0.0374  2 Pt 3.19, 1 Ag 3.33
Ba: 0.7331 0.6991 0.4662  3 Pt 3.21
Ba: 0.7585 0.2961 0.5170  2 Pt 3.19, 1 Ag 3.33
Ba: 0.7584 0.2961 0.0374  2 Pt 3.19, 1 Ag 3.33
Ag: 0.0000 0.5000 0.0000  6 Ba 3.33
Pt: 0.5000 0.5000 0.0000  6 Ba 3.19-3.21
Pt: 0.5000 0.5000 0.5000  6 Ba 3.19-3.21
Pt: 0.0000 0.5000 0.5000  6 Ba 3.19-3.21
I: 0.5000 0.0000 0.0000  6 Ba 3.66
I: 0.5000 0.0000 0.5000  6 Ba 3.77-3.78
I: 0.0000 0.0000 0.0000  6 Ba 3.77-3.78
I: 0.0000 0.0000 0.5000  6 Ba 3.77-3.78